Entry from Alexandria: crystalline BaCa2Pt at its relaxed geometry (PBE-GGA).

Cell: 4.325 7.133 9.516 Å, 90.00 90.00 107.60°
Positions (direct):
Ba 0.931 0.862 0.250
Ba 0.069 0.138 0.750
Ca 0.339 0.679 0.568
Ca 0.661 0.321 0.432
Ca 0.339 0.679 0.932
Ca 0.661 0.321 0.068
Pt 0.749 0.498 0.750
Pt 0.251 0.502 0.250

Output
- E: -3.555 eV/atom
- DOS at the Fermi energy: 0.4686 states/eV per atom
- Energy relative to the lowest polymorph listed for this composition: 0 meV per atom
- Magnetization: 0.00 μB per cell

***

Entry from Alexandria: crystalline Cr2Pb at its relaxed geometry (PBE-GGA).

Cell: 9.537 9.537 4.008 Å, 90.00 90.00 161.51°
Positions (direct):
Cr 0.555 0.445 0.750
Cr 0.948 0.052 0.750
Cr 0.052 0.948 0.250
Cr 0.445 0.555 0.250
Pb 0.318 0.682 0.750
Pb 0.682 0.318 0.250

Output
- E: -7.221 eV/atom
- DOS at the Fermi energy: 0.5198 states/eV per atom
- Energy relative to the lowest polymorph listed for this composition: 0 meV per atom
- Magnetization: 0.39 μB per cell

***

Entry from Alexandria: crystalline Ba2HgRh at its relaxed geometry (PBE-GGA).

Cell: 5.550 5.550 4.120 Å, 90.00 90.00 90.00°
Positions (direct):
Ba 0.500 0.000 0.000
Ba 0.000 0.500 0.000
Hg 0.000 0.000 0.500
Rh 0.500 0.500 0.500

Output
- E: -3.066 eV/atom
- DOS at the Fermi energy: 0.6359 states/eV per atom
- Magnetization: 0.00 μB per cell

***

Entry from Alexandria: crystalline K3CaZn at its relaxed geometry (PBE-GGA).

Cell: 6.570 6.570 6.570 Å, 90.00 90.00 90.00°
Positions (direct):
K 0.000 0.500 0.000
K 0.000 0.000 0.500
K 0.500 0.000 0.000
Zn 0.000 0.000 0.000
Ca 0.500 0.500 0.500

Output
- E: -1.047 eV/atom
- DOS at the Fermi energy: 0.7043 states/eV per atom
- Energy relative to the lowest polymorph listed for this composition: 0 meV per atom
- Magnetization: 0.00 μB per cell

***

Entry from Alexandria: crystalline NaLi2SnRu at its relaxed geometry (PBE-GGA).

Cell: 5.010 5.507 5.010 Å, 90.00 90.00 90.00°
Positions (direct):
Ru 0.500 0.500 0.500
Li 0.000 0.000 0.500
Li 0.500 0.000 0.000
Sn 0.000 0.000 0.000
Na 0.000 0.500 0.000

Output
- E: -2.620 eV/atom
- DOS at the Fermi energy: 2.5771 states/eV per atom
- Magnetization: 2.96 μB per cell

***

Entry from Alexandria: crystalline NaZn2SbH at its relaxed geometry (PBE-GGA).

Cell: 5.567 3.777 5.567 Å, 90.00 90.00 90.00°
Positions (direct):
Sb 0.000 0.000 0.000
Zn 0.000 0.000 0.500
Zn 0.500 0.000 0.000
H 0.000 0.500 0.000
Na 0.500 0.500 0.500

Output
- E: -1.955 eV/atom
- DOS at the Fermi energy: 0.4713 states/eV per atom
- Magnetization: 0.00 μB per cell

***

Entry from Alexandria: crystalline Er3ZnIr8 at its relaxed geometry (PBE-GGA).

Cell: 5.305 5.305 9.182 Å, 73.21 73.21 60.00°
Positions (direct):
Er 0.624 0.624 0.128
Er 0.006 0.006 0.982
Er 0.495 0.495 0.514
Zn 0.132 0.132 0.605
Ir 0.562 0.062 0.814
Ir 0.061 0.561 0.316
Ir 0.562 0.562 0.814
Ir 0.061 0.061 0.316
Ir 0.811 0.811 0.567
Ir 0.311 0.311 0.066
Ir 0.062 0.562 0.814
Ir 0.561 0.061 0.316

Output
- E: -7.745 eV/atom
- DOS at the Fermi energy: 1.0957 states/eV per atom
- Magnetization: 0.00 μB per cell

***

Entry from Alexandria: crystalline Tb3Si4Pt7 at its relaxed geometry (PBE-GGA).

Cell: 4.042 8.012 8.328 Å, 70.61 75.95 75.39°
Positions (direct):
Tb 0.328 0.175 0.170
Tb 0.672 0.825 0.830
Tb 0.000 0.500 0.500
Si 0.668 0.436 0.227
Si 0.332 0.564 0.773
Si 0.889 0.897 0.325
Si 0.111 0.103 0.675
Pt 0.305 0.847 0.543
Pt 0.492 0.250 0.766
Pt 0.831 0.419 0.919
Pt 0.695 0.153 0.457
Pt 0.169 0.581 0.081
Pt 0.000 0.000 0.000
Pt 0.508 0.750 0.234

Output
- E: -6.672 eV/atom
- DOS at the Fermi energy: 0.4353 states/eV per atom
- Raw formation energy: -15.5 eV/f.u.
- Magnetization: 0.00 μB per cell

***

Entry from Alexandria: crystalline Sr2LaBeAs at its relaxed geometry (PBE-GGA).

Cell: 6.331 4.235 6.331 Å, 90.00 90.00 90.00°
Positions (direct):
Sr 0.000 0.000 0.500
Sr 0.500 0.000 0.000
As 0.000 0.000 0.000
Be 0.000 0.500 0.000
La 0.500 0.500 0.500

Output
- E: -3.223 eV/atom
- DOS at the Fermi energy: 1.0967 states/eV per atom
- Magnetization: 0.00 μB per cell

***

Entry from Alexandria: crystalline MnReRh2 at its relaxed geometry (PBE-GGA).

Cell: 4.672 4.672 2.712 Å, 90.00 90.00 109.39°
Positions (direct):
Mn 0.500 0.000 0.500
Re 0.000 0.500 0.500
Rh 0.000 0.000 0.000
Rh 0.500 0.500 0.000

Output
- E: -9.160 eV/atom
- DOS at the Fermi energy: 0.9187 states/eV per atom
- Energy relative to the lowest polymorph listed for this composition: 26 meV per atom
- Magnetization: 2.34 μB per cell

***

Look up the magnetization of the fifth one.
2.96 μB per cell

***

What is the formula in the eighth record?
Tb3Si4Pt7